1.
Sc3Te SCAN PBEsol geometry; total magnetic moment = 0.0535 μB/atom; ΔE_f (raw) = -568 meV/atom; D(E_F) = 0.90 states/eV per atom; space group = No. 123; ΔE to the lowest computed polymorph = 0.0532 eV per atom
1.0
3.735 0.000 0.000
0.000 3.735 0.000
0.000 0.000 6.431
Sc Te
3 1
direct
0.000 0.000 0.000
0.500 0.500 0.256
0.500 0.500 0.744
0.000 0.000 0.500

---

2.
Ga3ReMo SCAN PBEsol geometry; formation energy from the elements = 0.864 eV/atom; total magnetic moment = 0.8836 μB/atom; D(E_F) = 0.28 states/eV per atom; space group = No. 221
1.0
4.724 0.000 0.000
0.000 4.724 0.000
0.000 0.000 4.724
Ga Re Mo
3 1 1
direct
0.000 0.000 0.500
0.000 0.500 0.000
0.500 0.000 0.000
0.000 0.000 0.000
0.500 0.500 0.500

---

3.
Zr2Ta SCAN PBEsol geometry; formation energy from the elements = 0.204 eV/atom; total magnetic moment = 0.0000 μB/atom; D(E_F) = 1.32 states/eV per atom; space group = No. 71
1.0
-1.471 2.354 4.430
1.471 -2.354 4.430
1.471 2.354 -4.430
Zr Ta
2 1
direct
0.163 0.163 0.000
0.837 0.837 0.000
0.500 0.500 0.000